The following is a PBE calculation of crystalline ZrGe at its relaxed geometry, from the Open Quantum Materials Database.

```
ZrGe
1.0
6.566 0.000 0.000
0.000 14.511 0.000
0.000 0.000 4.987
Zr Ge
12 12
Direct
0.112 0.153 0.250
0.112 0.347 0.750
0.353 0.658 0.250
0.353 0.842 0.750
0.382 0.161 0.750
0.382 0.339 0.250
0.618 0.661 0.750
0.618 0.839 0.250
0.647 0.158 0.250
0.647 0.342 0.750
0.888 0.653 0.250
0.888 0.847 0.750
0.115 0.677 0.750
0.115 0.823 0.250
0.120 0.011 0.750
0.120 0.489 0.250
0.376 0.000 0.250
0.376 0.500 0.750
0.624 0.000 0.750
0.624 0.500 0.250
0.880 0.511 0.750
0.880 0.989 0.250
0.885 0.177 0.750
0.885 0.323 0.250
```

Output
- Raw total energy: -165.25 eV for the cell shown
- Magnetic moment: 0.0 μB per formula unit